Model one:
Below is a relaxed SrCaY2 crystal, with properties calculated at the PBE level.

calculated volume = 304 Å³ per cell

Cell and atoms, written as CIF:
```
data_SrCaY2
_cell_length_a 7.247
_cell_length_b 12.532
_cell_length_c 3.612
_cell_angle_alpha 90.00
_cell_angle_beta 112.25
_cell_angle_gamma 90.00
_space_group_name_H-M_alt 'C 1 2/m 1'
_space_group_IT_number 12
_space_group_name_Hall '-C 2y'
loop_
_atom_site_label
_atom_site_fract_x
_atom_site_fract_y
_atom_site_fract_z
Sr1 0.000 0.000 0.000
Ca1 0.000 0.500 0.000
Y1 0.250 0.250 0.500
```

Model two:
Below is a relaxed SrCaY2 crystal, with properties calculated at the PBE level.

calculated volume = 614 Å³ per cell

Cell and atoms, written as CIF:
```
data_SrCaY2
_cell_length_a 9.385
_cell_length_b 9.385
_cell_length_c 6.970
_cell_angle_alpha 90.00
_cell_angle_beta 90.00
_cell_angle_gamma 90.00
_space_group_name_H-M_alt 'I -4 2 d'
_space_group_IT_number 122
_space_group_name_Hall 'I -4 2bw'
loop_
_atom_site_label
_atom_site_fract_x
_atom_site_fract_y
_atom_site_fract_z
Sr1 0.000 0.000 0.000
Ca1 0.000 0.000 0.500
Y1 0.242 0.250 0.625
```

Which of them is the least stable? Correct choice: model two.

Model one:
Below is a relaxed TmTh3 crystal, with properties calculated at the PBE level.

calculated volume = 256 Å³ per cell

Cell and atoms, written as CIF:
```
data_TmTh3
_cell_length_a 3.549
_cell_length_b 11.743
_cell_length_c 6.145
_cell_angle_alpha 90.00
_cell_angle_beta 90.00
_cell_angle_gamma 90.00
_space_group_name_H-M_alt 'I m m 2'
_space_group_IT_number 44
_space_group_name_Hall 'I 2 -2'
loop_
_atom_site_label
_atom_site_fract_x
_atom_site_fract_y
_atom_site_fract_z
Tm1 0.000 0.000 0.000
Th1 0.000 0.252 0.679
Th2 0.000 0.500 0.009
```

Model two:
Below is a relaxed TmTh3 crystal, with properties calculated at the PBE level.

calculated volume = 253 Å³ per cell

Cell and atoms, written as CIF:
```
data_TmTh3
_cell_length_a 11.783
_cell_length_b 3.539
_cell_length_c 6.151
_cell_angle_alpha 90.00
_cell_angle_beta 99.71
_cell_angle_gamma 90.00
_space_group_name_H-M_alt 'C 1 2/m 1'
_space_group_IT_number 12
_space_group_name_Hall '-C 2y'
loop_
_atom_site_label
_atom_site_fract_x
_atom_site_fract_y
_atom_site_fract_z
Tm1 0.000 0.000 0.000
Th1 0.000 0.500 0.500
Th2 0.249 0.500 0.248
```

Which of them is the least stable? Correct choice: model one.